A plane-wave DFT calculation with PBE-GGA was carried out for AcAsH2 after structural relaxation.

a b c (Å): 4.5055 4.5055 4.6657
angles (deg): 61.13 61.13 60.00
Last column: nearest neighbours and their distance in Å.
Fractional positions:
H 0.3392 0.3392 0.9824  1 As 1.87
H 0.6608 0.6608 0.0176  1 As 1.87
Ac 0.0000 0.0000 0.0000  6 H 2.60
As 0.5000 0.5000 0.5000  2 H 1.87

As for the distance to the lowest polymorph of the same formula: 0.0 meV per atom.

A plane-wave DFT calculation with PBE-GGA was carried out for AcAsH after structural relaxation.

a b c (Å): 6.4417 6.4417 8.1180
angles (deg): 119.96 119.95 75.02
Last column: nearest neighbours and their distance in Å.
Fractional positions:
Ac 0.9948 0.4199 0.4999  4 H 2.56-2.65
Ac 0.5802 0.0053 0.5000  4 H 2.56-2.65
Ac 0.3300 0.2552 0.9999  4 H 2.56-2.65
Ac 0.7447 0.6699 0.0000  4 H 2.56-2.65
H 0.6511 0.5760 0.2273  4 Ac 2.56-2.65
H 0.6739 0.0988 0.2727  4 Ac 2.56-2.65
H 0.9013 0.3263 0.7273  4 Ac 2.56-2.65
H 0.4239 0.3488 0.7727  4 Ac 2.56-2.65
As 0.8753 0.1245 0.9999  1 As 2.54
As 0.1254 0.8745 0.4999  1 As 2.54
As 0.4495 0.5506 0.5001  1 As 2.54
As 0.1995 0.8006 0.0001  1 As 2.54

As for the distance to the lowest polymorph of the same formula: 0.0 meV per atom.

A plane-wave DFT calculation with PBE-GGA was carried out for AcAs4H after structural relaxation.

a b c (Å): 5.7160 5.7160 5.7160
angles (deg): 60.00 60.00 60.00
Last column: nearest neighbours and their distance in Å.
Fractional positions:
As 0.6156 0.1532 0.6156  3 As 2.64
As 0.6156 0.6156 0.1532  3 As 2.64
As 0.1532 0.6156 0.6156  3 As 2.64
As 0.6156 0.6156 0.6156  3 As 2.64
Ac 0.0000 0.0000 0.0000  12 As 3.38, 4 H 3.50
H 0.2500 0.2500 0.2500  12 As 3.33, 4 Ac 3.50

The total energy is -4.393 eV/atom.

A plane-wave DFT calculation with PBE-GGA was carried out for AcAsH after structural relaxation.

a b c (Å): 7.9574 8.8221 4.6506
angles (deg): 90.00 125.80 90.00
Last column: nearest neighbours and their distance in Å.
Fractional positions:
As 0.2670 0.1379 0.5171  1 H 1.94
As 0.7670 0.3621 0.5171  1 H 1.94
As 0.7330 0.8621 0.4829  1 H 1.94
As 0.2330 0.6379 0.4829  1 H 1.94
Ac 0.7622 0.1197 0.0122  3 H 2.56-2.66
Ac 0.7378 0.6197 0.9878  3 H 2.56-2.66
Ac 0.2622 0.3803 0.0122  3 H 2.56-2.66
Ac 0.2378 0.8803 0.9878  3 H 2.56-2.66
H 0.3950 0.4526 0.6453  1 As 1.94
H 0.6050 0.5474 0.3547  1 As 1.94
H 0.1050 0.9526 0.3547  1 As 1.94
H 0.8950 0.0474 0.6453  1 As 1.94

As for the distance to the lowest polymorph of the same formula: 63.2 meV per atom.